(1)
A relaxed structure of Ca4ZnCd2Ga. Source: the Alexandria database, functional PBE-GGA.

The space group is R-3m (No. 166, hexagonal axes) and the conventional cell measures 5.3084, 5.3084 and 26.1508 Å, with angles of 90.00, 90.00 and 120.00 degrees. The asymmetric unit holds Ca at (0.0000, 0.0000, 0.1245), Ca at (0.0000, 0.0000, 0.3744), Zn at (0.0000, 0.0000, 0.5000), Cd at (0.0000, 0.0000, 0.2497) and Ga at (0.0000, 0.0000, 0.0000).

As for the total energy: -2.11 eV per atom. Its volume is 26.59 Å³/atom. The calculation puts the formation energy at -2.77 eV per formula unit. The density of states at the Fermi level is 5.33 states/eV/f.u.

=====

(2)
A relaxed structure of Ca2ZnCd6Ga. Source: the Alexandria database, functional PBE-GGA.

The space group is R-3m (No. 166, hexagonal axes) and the conventional cell measures 7.0737, 7.0737 and 35.2561 Å, with angles of 90.00, 90.00 and 120.00 degrees. The asymmetric unit holds Ca at (0.0000, 0.0000, 0.1080), Ca at (0.0000, 0.0000, 0.2823), Zn at (0.0000, 0.0000, 0.0000), Zn at (0.0000, 0.0000, 0.5000), Cd at (0.0466, 0.5233, 0.3002), Cd at (0.0616, 0.5308, 0.8654) and Ga at (0.0000, 0.0000, 0.4267).

As for the total energy: -1.47 eV per atom. Its volume is 25.46 Å³/atom. The calculation puts the formation energy at -0.94 eV per formula unit. The density of states at the Fermi level is 4.76 states/eV/f.u.